Compound: TbSBr
Source: Alexandria via LeMat-Bulk
Functional: PBE
Structure: optimized geometry

Geometry as POSCAR:
```
TbSBr
1.0
4.100 0.000 0.000
-2.050 3.550 0.000
0.000 0.000 6.779
Tb Br S
1 1 1
direct
0.667 0.333 0.364
0.000 0.000 0.094
0.333 0.667 0.542
```

Results
As for the space-group type: P3m1. Its crystal system is trigonal.

Compound: TbS4Br
Source: Alexandria via LeMat-Bulk
Functional: PBE
Structure: optimized geometry

Geometry as POSCAR:
```
TbS4Br
1.0
6.772 2.872 -2.475
2.328 8.398 1.688
-4.195 -0.908 8.652
Tb S Br
2 8 2
direct
0.021 0.264 0.615
0.979 0.736 0.385
0.992 0.022 0.890
0.160 0.895 0.665
0.549 0.588 0.551
0.008 0.978 0.110
0.734 0.903 0.968
0.451 0.412 0.449
0.840 0.105 0.335
0.266 0.097 0.032
0.763 0.522 0.234
0.237 0.478 0.766
```

Results
As for the space-group type: P-1. Its crystal system is triclinic.

Compound: TbS5Br
Source: Alexandria via LeMat-Bulk
Functional: PBE
Structure: optimized geometry

Geometry as POSCAR:
```
TbS5Br
1.0
3.724 0.315 -1.882
-0.582 4.005 -2.206
2.735 3.702 11.549
S Br Tb
5 1 1
direct
0.436 0.148 0.764
0.028 0.528 0.057
0.915 0.275 0.162
0.248 0.887 0.162
0.328 0.617 0.764
0.751 0.751 0.502
0.825 0.325 0.649
```

Results
As for the space-group type: C2. Its crystal system is monoclinic.

Compound: TbSBr
Source: Alexandria via LeMat-Bulk
Functional: PBE
Structure: optimized geometry

Geometry as POSCAR:
```
TbSBr
1.0
5.459 0.000 0.000
0.000 8.341 0.000
0.000 0.000 8.341
Tb Br S
4 4 4
direct
0.000 0.500 0.750
0.500 0.250 0.500
0.000 0.500 0.250
0.500 0.750 0.500
0.500 0.000 0.731
0.000 0.269 0.000
0.500 0.000 0.269
0.000 0.731 0.000
0.000 0.280 0.500
0.500 0.500 0.720
0.000 0.720 0.500
0.500 0.500 0.280
```

Results
As for the space-group type: P4_2/mmc. Its crystal system is tetragonal.

Compound: Tb3SBr3
Source: Alexandria via LeMat-Bulk
Functional: PBE
Structure: optimized geometry

Geometry as POSCAR:
```
Tb3SBr3
1.0
-1.503 5.709 3.424
-0.414 -0.115 6.811
9.705 4.187 4.079
Br S Tb
6 2 6
direct
0.227 0.896 0.313
0.773 0.104 0.687
0.435 0.773 0.687
0.896 0.565 0.313
0.565 0.227 0.313
0.104 0.435 0.687
0.333 0.333 0.000
0.667 0.667 0.000
0.706 0.386 0.862
0.614 0.954 0.138
0.294 0.614 0.138
0.046 0.706 0.862
0.954 0.294 0.138
0.386 0.046 0.862
```

Results
As for the space-group type: R-3. Its crystal system is trigonal.

Compound: Tb2SBr2
Source: Alexandria via LeMat-Bulk
Functional: PBE
Structure: optimized geometry

Geometry as POSCAR:
```
Tb2SBr2
1.0
-3.452 1.191 -1.594
-0.738 -0.642 -3.862
-5.926 -9.367 0.854
Tb Br S
2 2 1
direct
0.284 0.798 0.633
0.716 0.202 0.367
0.555 0.087 0.802
0.445 0.913 0.198
0.000 0.500 0.500
```

Results
As for the space-group type: C2/m. Its crystal system is monoclinic.

Compound: TbS8Br2
Source: Alexandria via LeMat-Bulk
Functional: PBE
Structure: optimized geometry

Geometry as POSCAR:
```
TbS8Br2
1.0
-2.824 -6.417 5.368
2.766 -2.232 -5.721
8.754 1.478 -1.216
S Tb Br
8 1 2
direct
0.716 0.599 0.292
0.097 0.116 0.707
0.903 0.884 0.293
0.284 0.401 0.708
0.016 0.530 0.214
0.212 0.623 0.754
0.788 0.377 0.246
0.984 0.470 0.786
0.000 0.000 0.000
0.349 0.120 0.225
0.651 0.880 0.775
```

Results
As for the space-group type: P-1. Its crystal system is triclinic.

Compound: TbSBr
Source: Alexandria via LeMat-Bulk
Functional: PBE
Structure: optimized geometry

Geometry as POSCAR:
```
TbSBr
1.0
-6.399 0.254 2.602
-2.590 -1.045 -6.267
-0.298 -6.880 -0.062
S Br Tb
4 4 4
direct
0.760 0.491 0.555
0.260 0.009 0.445
0.240 0.509 0.445
0.740 0.991 0.555
0.132 0.805 0.923
0.868 0.195 0.077
0.368 0.305 0.923
0.632 0.695 0.077
0.537 0.292 0.322
0.037 0.208 0.678
0.963 0.792 0.322
0.463 0.708 0.678
```

Results
As for the space-group type: P2_1/c. Its crystal system is monoclinic.

Compound: Tb3SBr7
Source: Alexandria via LeMat-Bulk
Functional: PBE
Structure: optimized geometry

Geometry as POSCAR:
```
Tb3SBr7
1.0
6.995 0.000 0.000
0.000 8.290 0.000
0.000 -4.145 7.180
Tb Br S
3 7 1
direct
0.774 0.014 0.507
0.774 0.493 0.986
0.774 0.493 0.507
0.008 0.657 0.829
0.558 0.827 0.173
0.558 0.827 0.653
0.008 0.171 0.829
0.008 0.171 0.343
0.558 0.347 0.173
0.011 0.667 0.333
0.582 0.333 0.667
```

Results
As for the space-group type: P3m1. Its crystal system is trigonal.

Compound: TbSBr
Source: Alexandria via LeMat-Bulk
Functional: PBE
Structure: optimized geometry

Geometry as POSCAR:
```
TbSBr
1.0
-3.341 2.354 -0.327
-1.795 -1.894 4.708
5.935 6.265 4.783
S Tb Br
2 2 2
direct
0.723 0.250 0.930
0.277 0.750 0.070
0.702 0.750 0.880
0.298 0.250 0.120
0.878 0.250 0.323
0.122 0.750 0.677
```

Results
As for the space-group type: P2_1/m. Its crystal system is monoclinic.

Compound: Tb3S4Br
Source: Alexandria via LeMat-Bulk
Functional: PBE
Structure: optimized geometry

Geometry as POSCAR:
```
Tb3S4Br
1.0
6.999 0.000 0.000
-3.499 6.601 -2.509
0.000 0.022 9.729
S Tb Br
8 6 2
direct
0.946 0.211 0.431
0.048 0.755 0.528
0.568 0.454 0.651
0.265 0.211 0.931
0.494 0.597 0.340
0.706 0.755 0.028
0.103 0.597 0.840
0.887 0.454 0.151
0.701 0.376 0.388
0.897 0.837 0.302
0.277 0.565 0.580
0.288 0.565 0.080
0.940 0.837 0.802
0.675 0.376 0.888
0.336 0.984 0.230
0.649 0.984 0.730
```

Results
As for the space-group type: Cc. Its crystal system is monoclinic.

Compound: TcS3Br
Source: Alexandria via LeMat-Bulk
Functional: PBE
Structure: optimized geometry

Geometry as POSCAR:
```
TcS3Br
1.0
4.647 0.000 0.000
0.000 4.647 0.000
0.000 0.000 4.647
Br S Tc
1 3 1
direct
0.500 0.500 0.500
0.000 0.000 0.500
0.500 0.000 0.000
0.000 0.500 0.000
0.000 0.000 0.000
```

Results
As for the space-group type: Pm-3m. Its crystal system is cubic. The value obtained for the energy above the most stable polymorph in this dataset is 0.000 eV/atom.

Number 1: E -16.3 eV for the cell shown, E_form (uncorrected) -1942 meV/atom. Number 2: E -55.9 eV for the cell shown, E_form (uncorrected) -853 meV/atom. Number 3: E -31.6 eV for the cell shown, E_form (uncorrected) -672 meV/atom. Number 4: E -65.6 eV for the cell shown, E_form (uncorrected) -1994 meV/atom. Number 5: E -69.4 eV for the cell shown, E_form (uncorrected) -1669 meV/atom. Number 6: E -26.1 eV for the cell shown, E_form (uncorrected) -1871 meV/atom. Number 7: E -45.5 eV for the cell shown, E_form (uncorrected) -409 meV/atom. Number 8: E -65.6 eV for the cell shown, E_form (uncorrected) -1986 meV/atom. Number 9: E -50.5 eV for the cell shown, E_form (uncorrected) -1890 meV/atom. Number 10: E -33.0 eV for the cell shown, E_form (uncorrected) -2017 meV/atom. Number 11: E -96.0 eV for the cell shown, E_form (uncorrected) -1991 meV/atom. Number 12: E -22.9 eV for the cell shown, E_form (uncorrected) 310 meV/atom.